Record 1
Rb3YO3 | PBEsol | optimized geometry

a = 7.594 Å, b = 12.231 Å, c = 7.158 Å
α = 90.00°, β = 98.90°, γ = 90.00°
Space group C2/m (No. 12)
One atom of each set of equivalent atoms:
Rb 0.000 0.206 0.000 [4 per cell]
Rb 0.000 0.258 0.500 [4 per cell]
Rb 0.140 0.500 0.861 [4 per cell]
Y 0.181 0.000 0.649 [4 per cell]
O 0.102 0.000 0.343 [4 per cell]
O 0.188 0.360 0.232 [8 per cell]

## Properties
ΔE_f (raw) = -1.93 eV/atom
size of the total moment = 0.43 μB/cell

Record 2
RbYO3 | PBEsol | optimized geometry

a = 4.443 Å, b = 4.443 Å, c = 4.443 Å
α = 90.00°, β = 90.00°, γ = 90.00°
Space group Pm-3m (No. 221)
One atom of each set of equivalent atoms:
Rb 0.000 0.000 0.000 [1 per cell]
Y 0.500 0.500 0.500 [1 per cell]
O 0.000 0.500 0.500 [3 per cell]

## Properties
ΔE_f (raw) = -1.85 eV/atom
size of the total moment = 2.00 μB/cell